Record 1
Density functional theory data (PBE) for a relaxed TeCSeI2 crystal.

Its energy above the most stable polymorph in this dataset is 0 meV per atom. The calculation puts the uncorrected formation energy at 6.3 eV/f.u. The total energy comes out at -2.52 eV per atom.

Cell: 5.0452 5.0452 4.8290 Å, 90.00 90.00 90.00°
Last column: nearest neighbours and their distance in Å.
Space group P4/mmm (No. 123)
One atom of each set of equivalent atoms:
Te 0.0000 0.0000 0.0000 [1 per cell]  2 C 2.41
C 0.0000 0.0000 0.5000 [1 per cell]  2 Te 2.41, 4 I 2.52
Se 0.5000 0.5000 0.0000 [1 per cell]  8 I 3.49, 4 Te 3.57
I 0.0000 0.5000 0.5000 [2 per cell]  2 C 2.52

***

Record 2
Density functional theory data (PBE) for a relaxed TiC2SeI crystal.

The calculation puts the uncorrected formation energy at 7.7 eV/f.u. The total energy comes out at -4.73 eV per atom.

Cell: 4.0815 4.0815 6.0539 Å, 90.00 90.00 90.00°
Last column: nearest neighbours and their distance in Å.
Space group P4/mmm (No. 123)
One atom of each set of equivalent atoms:
Ti 0.0000 0.0000 0.0000 [1 per cell]  4 C 2.04
C 0.0000 0.5000 0.0000 [2 per cell]  2 Ti 2.04
Se 0.5000 0.5000 0.5000 [1 per cell]  4 I 2.89
I 0.0000 0.0000 0.5000 [1 per cell]  4 Se 2.89, 2 Ti 3.03

***

Record 3
Density functional theory data (PBE) for a relaxed Si3CI crystal.

Its energy above the most stable polymorph in this dataset is 1647 meV per atom. The calculation puts the uncorrected formation energy at 14.7 eV/f.u. The total energy comes out at -2.47 eV per atom.

Cell: 5.3445 5.3445 5.3445 Å, 90.00 90.00 90.00°
Last column: nearest neighbours and their distance in Å.
Space group Pm-3m (No. 221)
One atom of each set of equivalent atoms:
Si 0.0000 0.0000 0.5000 [3 per cell]  2 I 2.67
C 0.5000 0.5000 0.5000 [1 per cell]  12 Si 3.78
I 0.0000 0.0000 0.0000 [1 per cell]  6 Si 2.67

***

Record 4
Density functional theory data (PBE) for a relaxed Si3CI crystal.

Its energy above the most stable polymorph in this dataset is 0 meV per atom. The calculation puts the uncorrected formation energy at 6.5 eV/f.u. The total energy comes out at -4.12 eV per atom.

Cell: 4.3473 4.3473 4.3473 Å, 90.00 90.00 90.00°
Last column: nearest neighbours and their distance in Å.
Space group Pm-3m (No. 221)
One atom of each set of equivalent atoms:
Si 0.0000 0.0000 0.5000 [3 per cell]  2 C 2.17
C 0.0000 0.0000 0.0000 [1 per cell]  6 Si 2.17
I 0.5000 0.5000 0.5000 [1 per cell]  12 Si 3.07